{"formula": "LiNpCrO5", "functional": "GGA+U", "state": "optimized geometry", "sg": "No. 15", "dft_energy_ev_per_atom": -8.102, "cell": [[5.8395, -0.5136, -0.1022], [-2.1959, 5.4353, -0.1022], [-1.5290, -2.0653, 7.2458]], "species": ["Li", "Li", "Np", "Np", "Cr", "Cr", "O", "O", "O", "O", "O", "O", "O", "O", "O", "O"], "fractional_positions": [[0.7134, 0.2866, 0.2500], [0.2866, 0.7134, 0.7500], [0.0000, 0.0000, 0.5000], [0.0000, 0.0000, 0.0000], [0.4201, 0.5799, 0.2500], [0.5799, 0.4201, 0.7500], [0.0859, 0.9141, 0.2500], [0.9141, 0.0859, 0.7500], [0.5966, 0.7254, 0.9254], [0.4034, 0.2746, 0.0746], [0.2746, 0.4034, 0.5746], [0.7254, 0.5966, 0.4254], [0.3492, 0.0368, 0.6661], [0.6508, 0.9632, 0.3339], [0.9632, 0.6508, 0.8339], [0.0368, 0.3492, 0.1661]]}